GGA-PBE Pr5SmDy5, optimized geometry; raw total energy = -48.6 eV/cell; energy relative to the lowest polymorph listed for this composition = 28 meV per atom; energy relative to the elements = 0.277 eV per atom; D(E_F) = 21.2 states/eV per cell; SG = P-6m2
1.0
-0.712 -5.993 1.310
4.898 1.889 -3.252
6.087 1.468 10.023
Pr Sm Dy
5 1 5
direct
0.667 0.333 0.155
0.667 0.333 0.845
0.333 0.667 0.318
0.333 0.667 0.682
0.000 0.000 0.000
0.333 0.667 0.000
0.333 0.167 0.500
0.000 0.000 0.266
0.833 0.667 0.500
0.833 0.167 0.500
0.000 0.000 0.734